Below is a PBEsol-optimized structure of LaMgIr3, with properties calculated at the SCAN level.

Unit cell a=4.888 b=4.888 c=4.888 alpha=90.00 beta=90.00 gamma=90.00
Sites, in units of the cell vectors:
La1 0.000 0.000 0.000
Mg1 0.500 0.500 0.500
Ir1 0.000 0.000 0.500
Ir2 0.000 0.500 0.000
Ir3 0.500 0.000 0.000

Properties
Spin magnetization: 0.0000 μB per atom
D(E_F): 2.123 states/eV per cell
V: 23.36 Å³ per atom
Energy relative to the elements: 1760.1 meV per atom
Total energy: -50.5151 eV/atom
Space group: Pm-3m